1.
First-principles (PBE) data for CaTmLu2 after structural relaxation, as listed in Alexandria.

Cell lengths 5.026, 5.026, 5.033 Å; angles 90.00, 90.00, 90.00 degrees
Fractional positions:
Ca1 0.000 0.000 0.000
Tm1 0.500 0.500 0.000
Lu1 0.000 0.500 0.500
Lu2 0.500 0.000 0.500

Calculated values
Distance to the lowest polymorph of the same formula ... 1.841 kcal/mol of atoms
Energy of formation from the pure elements ... 0.1723 eV/atom
Total energy ... -3.706 eV/atom

***

2.
First-principles (PBE) data for TlGaIr2 after structural relaxation, as listed in Alexandria.

Cell lengths 6.418, 6.418, 6.418 Å; angles 90.00, 90.00, 90.00 degrees
Fractional positions:
Tl1 0.000 0.000 0.000
Tl2 0.000 0.500 0.500
Tl3 0.500 0.000 0.500
Tl4 0.500 0.500 0.000
Ga1 0.000 0.000 0.500
Ga2 0.000 0.500 0.000
Ga3 0.500 0.000 0.000
Ga4 0.500 0.500 0.500
Ir1 0.250 0.250 0.250
Ir2 0.250 0.250 0.750
Ir3 0.250 0.750 0.250
Ir4 0.250 0.750 0.750
Ir5 0.750 0.250 0.250
Ir6 0.750 0.250 0.750
Ir7 0.750 0.750 0.250
Ir8 0.750 0.750 0.750

Calculated values
Distance to the lowest polymorph of the same formula ... 0.000 kcal/mol of atoms
Energy of formation from the pure elements ... 0.2413 eV/atom
Total energy ... -5.538 eV/atom

***

3.
First-principles (PBE) data for BaMnAs2Se after structural relaxation, as listed in Alexandria.

Cell lengths 5.943, 5.943, 5.920 Å; angles 90.00, 90.00, 90.00 degrees
Fractional positions:
Ba1 0.000 0.000 0.000
Mn1 0.500 0.500 0.500
As1 0.000 0.500 0.000
As2 0.500 0.000 0.000
Se1 0.000 0.000 0.500

Calculated values
Distance to the lowest polymorph of the same formula ... 38.457 kcal/mol of atoms
Total energy ... -3.638 eV/atom
Raw formation energy ... 5.7 eV/f.u.

***

4.
First-principles (PBE) data for CaCd after structural relaxation, as listed in Alexandria.

Cell lengths 12.017, 3.969, 7.756 Å; angles 90.00, 109.05, 90.00 degrees
Fractional positions:
Ca1 0.000 0.000 0.000
Ca2 0.010 0.000 0.550
Ca3 0.202 0.500 0.356
Ca4 0.500 0.500 0.000
Ca5 0.510 0.500 0.550
Ca6 0.702 0.000 0.356
Cd1 0.194 0.500 0.892
Cd2 0.317 0.000 0.701
Cd3 0.361 0.000 0.191
Cd4 0.694 0.000 0.892
Cd5 0.817 0.500 0.701
Cd6 0.861 0.500 0.191

Calculated values
Energy of formation from the pure elements ... -0.2440 eV/atom
Total energy ... -1.702 eV/atom

***

5.
First-principles (PBE) data for Tb6PrEr2Tm3 after structural relaxation, as listed in Alexandria.

Cell lengths 6.137, 6.137, 11.745 Å; angles 94.98, 94.98, 119.96 degrees
Fractional positions:
Tb1 0.081 0.415 0.247
Tb2 0.250 0.250 0.753
Tb3 0.415 0.081 0.247
Tb4 0.585 0.919 0.753
Tb5 0.750 0.750 0.247
Tb6 0.919 0.585 0.753
Pr1 0.500 0.500 0.500
Er1 0.167 0.833 0.500
Er2 0.833 0.167 0.500
Tm1 0.000 0.000 0.000
Tm2 0.333 0.667 0.000
Tm3 0.667 0.333 0.000

Calculated values
Energy of formation from the pure elements ... 0.0196 eV/atom
Total energy ... -4.572 eV/atom

***

6.
First-principles (PBE) data for Ba3SiMo after structural relaxation, as listed in Alexandria.

Cell lengths 6.363, 6.363, 6.363 Å; angles 90.00, 90.00, 90.00 degrees
Fractional positions:
Ba1 0.000 0.000 0.500
Ba2 0.000 0.500 0.000
Ba3 0.500 0.000 0.000
Si1 0.000 0.000 0.000
Mo1 0.500 0.500 0.500

Calculated values
Distance to the lowest polymorph of the same formula ... 0.000 kcal/mol of atoms
Total energy ... -3.576 eV/atom
Raw formation energy ... 4.1 eV/f.u.

***

7.
First-principles (PBE) data for Pa3Mn4HgN12 after structural relaxation, as listed in Alexandria.

Cell lengths 7.099, 7.099, 7.099 Å; angles 104.66, 104.66, 104.66 degrees
Fractional positions:
Pa1 0.000 0.549 0.451
Pa2 0.451 0.000 0.549
Pa3 0.549 0.451 0.000
Mn1 0.048 0.500 0.952
Mn2 0.500 0.500 0.500
Mn3 0.500 0.952 0.048
Mn4 0.952 0.048 0.500
Hg1 0.000 0.000 0.000
N1 0.028 0.637 0.790
N2 0.109 0.891 0.500
N3 0.210 0.363 0.972
N4 0.344 0.656 0.500
N5 0.363 0.972 0.210
N6 0.500 0.109 0.891
N7 0.500 0.344 0.656
N8 0.637 0.790 0.028
N9 0.656 0.500 0.344
N10 0.790 0.028 0.637
N11 0.891 0.500 0.109
N12 0.972 0.210 0.363

Calculated values
Total energy ... -8.516 eV/atom
Raw formation energy ... -4.9 eV/f.u.

***

8.
First-principles (PBE) data for CaTeI2N after structural relaxation, as listed in Alexandria.

Cell lengths 6.410, 6.410, 4.056 Å; angles 90.00, 90.00, 90.00 degrees
Fractional positions:
Ca1 0.000 0.000 0.000
Te1 0.500 0.500 0.500
I1 0.000 0.500 0.500
I2 0.500 0.000 0.500
N1 0.500 0.500 0.000

Calculated values
Distance to the lowest polymorph of the same formula ... 0.433 kcal/mol of atoms
Total energy ... -3.164 eV/atom
Raw formation energy ... 0.7 eV/f.u.